<one>
Computed, not measured: a relaxed structure of Sn2GeS at the PBE-GGA level of DFT.

Lattice parameters (Å, degrees): 5.0163 5.0163 5.0163 60.00 60.00 60.00
Closest atoms and distances in Å follow each position.
Positions (direct):
Sn: 0.2500 0.2500 0.2500  4 S 3.07, 4 Ge 3.07
Sn: 0.7500 0.7500 0.7500  4 S 3.07, 4 Ge 3.07
Ge: 0.0000 0.0000 0.0000  8 Sn 3.07
S: 0.5000 0.5000 0.5000  8 Sn 3.07

Values from the calculation:
Space group: Fm-3m, No. 225

<two>
Computed, not measured: a relaxed structure of Sn2GeS at the PBE-GGA level of DFT.

Lattice parameters (Å, degrees): 7.6599 7.6599 7.6599 29.87 29.87 29.87
Closest atoms and distances in Å follow each position.
Positions (direct):
Sn: 0.0000 0.0000 0.0000  3 S 2.79, 3 Ge 2.95
Sn: 0.1763 0.1763 0.1763  3 Ge 2.77
Ge: 0.5812 0.5812 0.5812  6 Sn 2.77-2.95
S: 0.4064 0.4064 0.4064  3 Sn 2.79

Values from the calculation:
Space group: R3m, No. 160

<two> wins, 11.4 kJ/mol of atoms ahead of the next structure.

<one>
Computed, not measured: a relaxed structure of Sn2Ge2S at the PBE-GGA level of DFT.

Lattice parameters (Å, degrees): 7.5265 7.5265 4.1359 90.00 90.00 90.00
Closest atoms and distances in Å follow each position.
Positions (direct):
Sn: 0.1410 0.3590 0.0000  6 Ge 2.84-3.17, 1 Sn 3.00
Sn: 0.3590 0.8590 0.0000  6 Ge 2.84-3.17, 1 Sn 3.00
Sn: 0.6410 0.1410 0.0000  6 Ge 2.84-3.17, 1 Sn 3.00
Sn: 0.8590 0.6410 0.0000  6 Ge 2.84-3.17, 1 Sn 3.00
Ge: 0.1758 0.6758 0.5000  2 S 2.78, 2 Sn 2.84
Ge: 0.3242 0.1758 0.5000  2 S 2.78, 2 Sn 2.84
Ge: 0.6758 0.8242 0.5000  2 S 2.78, 2 Sn 2.84
Ge: 0.8242 0.3242 0.5000  2 S 2.78, 2 Sn 2.84
S: 0.0000 0.0000 0.5000  4 Ge 2.78
S: 0.5000 0.5000 0.5000  4 Ge 2.78

Values from the calculation:
Space group: P4/mbm, No. 127

<two>
Computed, not measured: a relaxed structure of Sn2Ge2S at the PBE-GGA level of DFT.

Lattice parameters (Å, degrees): 7.6922 7.6922 4.1544 90.00 90.00 90.00
Closest atoms and distances in Å follow each position.
Positions (direct):
Sn: 0.1963 0.3037 0.0000  2 S 2.78, 2 Ge 2.94
Sn: 0.3037 0.8037 0.0000  2 S 2.78, 2 Ge 2.94
Sn: 0.6963 0.1963 0.0000  2 S 2.78, 2 Ge 2.94
Sn: 0.8037 0.6963 0.0000  2 S 2.78, 2 Ge 2.94
Ge: 0.1128 0.6128 0.5000  1 Ge 2.46
Ge: 0.3872 0.1128 0.5000  1 Ge 2.46
Ge: 0.6128 0.8872 0.5000  1 Ge 2.46
Ge: 0.8872 0.3872 0.5000  1 Ge 2.46
S: 0.0000 0.0000 0.0000  4 Sn 2.78
S: 0.5000 0.5000 0.0000  4 Sn 2.78

Values from the calculation:
Space group: P4/mbm, No. 127

<two> wins, 4.2 kJ/mol of atoms ahead of the next structure.

<one>
Computed, not measured: a relaxed structure of Sn3GeS at the PBE-GGA level of DFT.

Lattice parameters (Å, degrees): 5.3096 5.3096 5.3096 90.00 90.00 90.00
Closest atoms and distances in Å follow each position.
Positions (direct):
Sn: 0.0000 0.0000 0.5000  2 S 2.65
Sn: 0.0000 0.5000 0.0000  2 S 2.65
Sn: 0.5000 0.0000 0.0000  2 S 2.65
Ge: 0.5000 0.5000 0.5000  12 Sn 3.75
S: 0.0000 0.0000 0.0000  6 Sn 2.65

Values from the calculation:
Space group: Pm-3m, No. 221

<two>
Computed, not measured: a relaxed structure of Sn3GeS at the PBE-GGA level of DFT.

Lattice parameters (Å, degrees): 5.3792 5.3792 5.3792 90.00 90.00 90.00
Closest atoms and distances in Å follow each position.
Positions (direct):
Sn: 0.0000 0.0000 0.5000  2 Ge 2.69
Sn: 0.0000 0.5000 0.0000  2 Ge 2.69
Sn: 0.5000 0.0000 0.0000  2 Ge 2.69
Ge: 0.0000 0.0000 0.0000  6 Sn 2.69
S: 0.5000 0.5000 0.5000  12 Sn 3.80

Values from the calculation:
Space group: Pm-3m, No. 221

<one> wins, 22.2 kJ/mol of atoms ahead of the next structure.

<one>
Computed, not measured: a relaxed structure of Sr2GeS4 at the PBE-GGA level of DFT.

Lattice parameters (Å, degrees): 8.1604 8.1604 8.1604 145.88 145.88 49.03
Closest atoms and distances in Å follow each position.
Positions (direct):
Sr: 0.1382 0.1382 0.0000  5 S 2.94-3.15
Sr: 0.8618 0.8618 0.0000  5 S 2.94-3.15
Ge: 0.5000 0.5000 0.0000  6 S 2.39-2.43
S: 0.0000 0.5000 0.5000  2 Ge 2.39
S: 0.3365 0.3365 0.0000  1 Ge 2.43
S: 0.5000 0.0000 0.5000  2 Ge 2.39
S: 0.6635 0.6635 0.0000  1 Ge 2.43

Values from the calculation:
Space group: I4/mmm, No. 139

<two>
Computed, not measured: a relaxed structure of Sr2GeS4 at the PBE-GGA level of DFT.

Lattice parameters (Å, degrees): 6.7933 6.7701 8.2839 90.00 107.96 90.00
Closest atoms and distances in Å follow each position.
Positions (direct):
Sr: 0.2220 0.2500 0.0533  6 S 2.98-3.15
Sr: 0.2617 0.2500 0.5655  6 S 3.04-3.15
Sr: 0.7383 0.7500 0.4345  6 S 3.04-3.15
Sr: 0.7780 0.7500 0.9467  6 S 2.98-3.15
Ge: 0.2304 0.7500 0.8019  4 S 2.22-2.23
Ge: 0.7696 0.2500 0.1981  4 S 2.22-2.23
S: 0.0096 0.0028 0.7415  1 Ge 2.23
S: 0.0096 0.4972 0.7415  1 Ge 2.23
S: 0.4050 0.7500 0.0769  1 Ge 2.22
S: 0.4225 0.7500 0.6268  1 Ge 2.23
S: 0.5775 0.2500 0.3732  1 Ge 2.23
S: 0.5950 0.2500 0.9231  1 Ge 2.22
S: 0.9904 0.5028 0.2585  1 Ge 2.23
S: 0.9904 0.9972 0.2585  1 Ge 2.23

Values from the calculation:
Space group: P2_1/m, No. 11

<two> wins, 25.4 kJ/mol of atoms ahead of the next structure.

<one>
Computed, not measured: a relaxed structure of SrGe3S at the PBE-GGA level of DFT.

Lattice parameters (Å, degrees): 5.7417 5.7417 5.7417 90.00 90.00 90.00
Closest atoms and distances in Å follow each position.
Positions (direct):
Sr: 0.0000 0.0000 0.0000  6 Ge 2.87
Ge: 0.0000 0.0000 0.5000  2 Sr 2.87
Ge: 0.0000 0.5000 0.0000  2 Sr 2.87
Ge: 0.5000 0.0000 0.0000  2 Sr 2.87
S: 0.5000 0.5000 0.5000  12 Ge 4.06

Values from the calculation:
Space group: Pm-3m, No. 221

<two>
Computed, not measured: a relaxed structure of SrGe3S at the PBE-GGA level of DFT.

Lattice parameters (Å, degrees): 5.0500 5.0500 5.0500 90.00 90.00 90.00
Closest atoms and distances in Å follow each position.
Positions (direct):
Sr: 0.0000 0.0000 0.0000  12 Ge 3.57
Ge: 0.0000 0.5000 0.5000  2 S 2.53
Ge: 0.5000 0.0000 0.5000  2 S 2.53
Ge: 0.5000 0.5000 0.0000  2 S 2.53
S: 0.5000 0.5000 0.5000  6 Ge 2.53

Values from the calculation:
Space group: Pm-3m, No. 221

<two> wins, 136.4 kJ/mol of atoms ahead of the next structure.

<one>
Computed, not measured: a relaxed structure of SrGeS3 at the PBE-GGA level of DFT.

Lattice parameters (Å, degrees): 4.8125 4.8125 4.8125 90.00 90.00 90.00
Closest atoms and distances in Å follow each position.
Positions (direct):
Sr: 0.0000 0.0000 0.0000  12 S 3.40
Ge: 0.5000 0.5000 0.5000  6 S 2.41
S: 0.0000 0.5000 0.5000  2 Ge 2.41
S: 0.5000 0.0000 0.5000  2 Ge 2.41
S: 0.5000 0.5000 0.0000  2 Ge 2.41

Values from the calculation:
Space group: Pm-3m, No. 221

<two>
Computed, not measured: a relaxed structure of SrGeS3 at the PBE-GGA level of DFT.

Lattice parameters (Å, degrees): 7.4905 7.4905 4.6688 92.38 92.38 74.45
Closest atoms and distances in Å follow each position.
Positions (direct):
Sr: 0.2129 0.2129 0.2574  8 S 3.08-3.39
Sr: 0.7871 0.7871 0.7426  8 S 3.08-3.39
Ge: 0.3245 0.6755 0.5000  4 S 2.18-2.30
Ge: 0.6755 0.3245 0.5000  4 S 2.18-2.30
S: 0.0722 0.6619 0.2593  1 Ge 2.18
S: 0.3381 0.9278 0.7407  1 Ge 2.18
S: 0.4006 0.4006 0.7368  2 Ge 2.30
S: 0.5994 0.5994 0.2632  2 Ge 2.30
S: 0.6619 0.0722 0.2593  1 Ge 2.18
S: 0.9278 0.3381 0.7407  1 Ge 2.18

Values from the calculation:
Space group: C2/m, No. 12

<two> wins, 28.1 kJ/mol of atoms ahead of the next structure.